{
  "formula": "MnTeWO6",
  "functional": "PBE+U",
  "state": "relaxed",
  "lattice": [[5.436, 0.000, 0.000], [-2.718, 4.707, 0.000], [0.000, 0.000, 9.229]],
  "species": ["Mn", "Mn", "Te", "Te", "W", "W", "O", "O", "O", "O", "O", "O", "O", "O", "O", "O", "O", "O"],
  "frac_coords": [[0.000, 0.000, 0.000], [0.000, 0.000, 0.500], [0.333, 0.667, 0.250], [0.667, 0.333, 0.750], [0.333, 0.667, 0.750], [0.667, 0.333, 0.250], [0.028, 0.365, 0.634], [0.028, 0.663, 0.866], [0.337, 0.365, 0.866], [0.337, 0.972, 0.634], [0.365, 0.028, 0.134], [0.365, 0.337, 0.366], [0.635, 0.663, 0.634], [0.635, 0.972, 0.866], [0.663, 0.028, 0.366], [0.663, 0.635, 0.134], [0.972, 0.337, 0.134], [0.972, 0.635, 0.366]],
  "energy_ry_per_atom": -0.5006,
  "spacegroup": "P-31c, No. 163",
  "n_ef_per_ev_atom": 0.000,
  "magmom_total_mub_per_fu": 4.97
}